No. 1
Computed, not measured: a relaxed structure of Ba2CoNiH6 at the PBE level of DFT.

Calculated values
VASP energy (eV for the cell shown): -39.42
M_tot (μB per cell): 0.0

Cell lengths 5.420, 5.420, 5.420 Å; angles 60.00, 60.00, 60.00 degrees
Fractional coordinates of all 10 atoms:
Ba: 0.250 0.250 0.250
Ba: 0.750 0.750 0.750
Co: 0.000 0.000 0.000
Ni: 0.500 0.500 0.500
H: 0.227 0.227 0.773
H: 0.227 0.773 0.227
H: 0.227 0.773 0.773
H: 0.773 0.227 0.227
H: 0.773 0.227 0.773
H: 0.773 0.773 0.227

No. 2
Computed, not measured: a relaxed structure of MgNbNiAg at the PBE level of DFT.

Calculated values
VASP energy (eV for the cell shown): -19.52
Energy above the most stable polymorph in this dataset (eV/atom): 0.048
M_tot (μB per cell): 0.0

Cell lengths 4.451, 4.451, 4.451 Å; angles 60.00, 60.00, 60.00 degrees
Fractional coordinates of all 4 atoms:
Mg: 0.000 0.000 0.000
Nb: 0.750 0.750 0.750
Ni: 0.500 0.500 0.500
Ag: 0.250 0.250 0.250

No. 3
Computed, not measured: a relaxed structure of OsO2 at the PBE level of DFT.

Calculated values
VASP energy (eV for the cell shown): -44.05
M_tot (μB per cell): 0.0

Cell lengths 6.072, 6.072, 6.072 Å; angles 60.00, 60.00, 60.00 degrees
Fractional coordinates of all 6 atoms:
Os: 0.125 0.125 0.125
Os: 0.875 0.875 0.875
O: 0.000 0.000 0.000
O: 0.000 0.000 0.500
O: 0.000 0.500 0.000
O: 0.500 0.000 0.000

No. 4
Computed, not measured: a relaxed structure of DyYGa4Ni2 at the PBE level of DFT.

Calculated values
VASP energy (eV for the cell shown): -39.57
M_tot (μB per cell): 0.0

Cell lengths 6.681, 5.466, 5.466 Å; angles 44.25, 90.00, 90.00 degrees
Fractional coordinates of all 8 atoms:
Dy: 0.000 0.000 0.000
Y: 0.500 0.141 0.141
Ga: 0.196 0.716 0.716
Ga: 0.304 0.425 0.425
Ga: 0.696 0.425 0.425
Ga: 0.804 0.716 0.716
Ni: 0.000 0.282 0.282
Ni: 0.500 0.859 0.859